A plane-wave DFT calculation with PBE was carried out for a geometry-optimized BaMnIr3 structure.

Structure (POSCAR):
```
BaMnIr3
1.0
5.078 0.000 0.000
0.000 5.078 0.000
0.000 0.000 5.078
Ba Mn Ir
1 1 3
Cartesian
0.000 0.000 0.000
2.539 2.539 2.539
0.000 0.000 2.539
0.000 2.539 0.000
2.539 0.000 0.000
```

Properties
ρ ... 9.7 g/cm³
E above lowest polymorph ... 2.592 eV per atom

A plane-wave DFT calculation with PBE was carried out for a geometry-optimized KInSnPd structure.

Structure (POSCAR):
```
KInSnPd
1.0
2.327 1.343 6.389
-2.327 1.343 6.389
0.000 -2.687 6.389
K In Sn Pd
1 1 1 1
Cartesian
0.000 0.000 0.000
0.000 0.000 3.879
0.000 0.000 8.752
0.000 0.000 15.772
```

Properties
ρ ... 5.3 g/cm³
Energy ... -14.2 eV per cell

A plane-wave DFT calculation with PBE was carried out for a geometry-optimized Pr3TmPu2Se6 structure.

Structure (POSCAR):
```
Pr3TmPu2Se6
1.0
3.604 -6.244 0.000
3.604 6.244 0.000
-2.403 0.000 6.902
Pr Tm Pu Se
3 1 2 6
Cartesian
0.000 0.000 0.000
3.604 2.117 0.000
3.604 -2.117 0.000
2.403 0.000 3.451
2.403 4.170 3.451
2.403 -4.170 3.451
1.223 2.047 1.832
0.043 0.000 5.097
1.223 -2.047 1.832
3.582 2.047 5.069
4.762 0.000 1.805
3.582 -2.047 5.069
```

Properties
ρ ... 8.3 g/cm³
Uncorrected formation energy ... -20.7 eV per formula unit

A plane-wave DFT calculation with PBE was carried out for a geometry-optimized Ac2BRh3 structure.

Structure (POSCAR):
```
Ac2BRh3
1.0
0.000 4.370 7.238
4.111 0.000 7.238
4.111 4.370 0.000
Ac B Rh
4 2 6
Cartesian
4.111 2.078 7.238
2.055 2.185 3.619
6.166 6.556 10.858
4.111 6.663 7.238
4.111 4.370 4.612
4.111 4.370 9.865
4.111 4.370 2.599
5.704 4.370 5.851
5.704 4.370 8.626
2.517 4.370 5.851
2.517 4.370 8.626
4.111 4.370 11.878
```

Properties
ρ ... 9.9 g/cm³
Energy ... -81.1 eV per cell

A plane-wave DFT calculation with PBE was carried out for a geometry-optimized YZnAgGe structure.

Structure (POSCAR):
```
YZnAgGe
1.0
0.000 3.408 3.408
3.408 0.000 3.408
3.408 3.408 0.000
Y Zn Ag Ge
1 1 1 1
Cartesian
0.000 0.000 0.000
5.113 5.113 5.113
3.408 3.408 3.408
1.704 1.704 1.704
```

Properties
ρ ... 7.0 g/cm³
Energy ... -16.4 eV per cell

A plane-wave DFT calculation with PBE was carried out for a geometry-optimized LiSc2Rh structure.

Structure (POSCAR):
```
LiSc2Rh
1.0
0.000 3.245 3.245
3.245 0.000 3.245
3.245 3.245 0.000
Li Sc Rh
1 2 1
Cartesian
0.000 0.000 0.000
1.623 1.623 1.623
3.245 3.245 3.245
4.868 4.868 4.868
```

Properties
ρ ... 4.9 g/cm³
Energy ... -22.9 eV per cell

A plane-wave DFT calculation with PBE was carried out for a geometry-optimized NdThMgGa structure.

Structure (POSCAR):
```
NdThMgGa
1.0
0.000 3.764 3.764
3.764 0.000 3.764
3.764 3.764 0.000
Nd Th Mg Ga
1 1 1 1
Cartesian
0.000 0.000 0.000
3.764 3.764 3.764
1.882 1.882 1.882
5.646 5.646 5.646
```

Properties
ρ ... 7.3 g/cm³
Energy ... -17.7 eV per cell

A plane-wave DFT calculation with PBE was carried out for a geometry-optimized VGePt3 structure.

Structure (POSCAR):
```
VGePt3
1.0
4.667 0.000 0.000
0.000 4.667 0.000
0.000 0.000 4.667
V Ge Pt
1 1 3
Cartesian
0.000 0.000 0.000
2.334 2.334 2.334
0.000 0.000 2.334
0.000 2.334 0.000
2.334 0.000 0.000
```

Properties
ρ ... 11.6 g/cm³
E above lowest polymorph ... 0.130 eV per atom

A plane-wave DFT calculation with PBE was carried out for a geometry-optimized ZnAgPb2 structure.

Structure (POSCAR):
```
ZnAgPb2
1.0
3.584 0.000 0.000
0.000 3.699 0.000
0.000 0.000 7.341
Zn Ag Pb
1 1 2
Cartesian
0.000 0.000 0.000
0.000 0.000 3.670
1.792 1.849 1.819
1.792 1.849 5.522
```

Properties
ρ ... 10.0 g/cm³
Energy ... -11.0 eV per cell

A plane-wave DFT calculation with PBE was carried out for a geometry-optimized Ac3BiAs2Rh9 structure.

Structure (POSCAR):
```
Ac3BiAs2Rh9
1.0
6.329 0.000 0.000
-3.164 5.481 0.000
0.000 0.000 9.674
Ac Bi As Rh
3 1 2 9
Cartesian
0.000 0.000 0.000
0.000 3.654 6.858
3.164 1.827 2.815
0.000 0.000 4.837
0.000 3.654 1.570
3.164 1.827 8.104
-1.582 2.740 0.000
0.000 1.605 2.658
-1.775 4.678 2.658
1.390 0.802 7.016
3.164 0.000 0.000
1.582 2.740 0.000
1.775 4.678 2.658
4.939 0.802 7.016
3.164 3.876 7.016
```

Properties
ρ ... 9.7 g/cm³
Energy ... -98.3 eV per cell

A plane-wave DFT calculation with PBE was carried out for a geometry-optimized Pm2Al4Zn3Ga structure.

Structure (POSCAR):
```
Pm2Al4Zn3Ga
1.0
4.215 0.000 0.000
0.000 4.215 0.000
0.000 0.000 10.897
Pm Al Zn Ga
2 4 3 1
Cartesian
0.000 2.107 2.705
2.107 0.000 8.192
0.000 0.000 5.448
0.000 2.107 9.395
2.107 0.000 1.501
2.107 2.107 5.448
0.000 0.000 0.000
0.000 2.107 6.952
2.107 0.000 3.944
2.107 2.107 0.000
```

Properties
ρ ... 5.7 g/cm³
Energy ... -35.5 eV per cell

A plane-wave DFT calculation with PBE was carried out for a geometry-optimized Tb2Pr6Er structure.

Structure (POSCAR):
```
Tb2Pr6Er
1.0
8.299 -5.971 0.000
8.299 5.971 0.000
-0.689 0.000 6.263
Tb Pr Er
4 12 2
Cartesian
2.719 1.204 0.514
2.375 -1.204 3.646
13.535 1.204 2.617
13.191 -1.204 5.748
7.164 4.299 3.046
4.302 1.665 4.085
9.090 4.299 0.086
6.229 1.671 1.129
4.646 -1.665 0.953
10.026 1.671 2.003
5.884 -1.671 4.260
11.264 1.665 5.309
9.681 -1.671 5.134
6.820 -4.299 6.177
11.608 -1.665 2.178
8.746 -4.299 3.217
7.783 1.206 4.697
8.127 -1.206 1.566
```

Properties
ρ ... 7.1 g/cm³
E above lowest polymorph ... 0.000 eV per atom